This record from OQMD via LeMat-Bulk describes a relaxed structure of Fe3Se2. The functional is PBE.

a b c (Å): 5.971 5.971 4.586
angles (deg): 90.00 90.00 90.00
Site moments in Bohr magnetons follow the coordinates.
Positions (direct):
Fe 0.647 0.147 0.279  2.55
Fe 0.353 0.853 0.279  2.54
Fe 0.000 0.000 0.500  2.04
Fe 0.500 0.500 0.500  2.04
Fe 0.147 0.353 0.721  2.53
Fe 0.853 0.647 0.721  2.53
Se 0.252 0.248 0.224  0.04
Se 0.748 0.752 0.224  0.04
Se 0.752 0.252 0.776  0.04
Se 0.248 0.748 0.776  0.03

Summary:
SG: P-42_1m, No. 113
Electronic total energy: -6.35 eV per atom